# PBE As2Pd7S2, relaxed
data_As2Pd7S2
_chemical_formula_sum 'As2 Pd7 S2'
_space_group_name_H-M_alt 'P 1'
_space_group_IT_number 1
_space_group_name_Hall 'P 1'
_cell_length_a 5.6622
_cell_length_b 5.6622
_cell_length_c 6.1114
_cell_angle_alpha 99.44
_cell_angle_beta 99.44
_cell_angle_gamma 82.14
loop_
_atom_site_label
_atom_site_type_symbol
_atom_site_fract_x
_atom_site_fract_y
_atom_site_fract_z
As1 As 0.2211 0.2211 0.0448
As2 As 0.7789 0.7789 0.9552
Pd1 Pd 0.0279 0.0279 0.2866
Pd2 Pd 0.0654 0.4692 0.7304
Pd3 Pd 0.4692 0.0654 0.7304
Pd4 Pd 0.5000 0.5000 0.0000
Pd5 Pd 0.5308 0.9346 0.2696
Pd6 Pd 0.9346 0.5308 0.2696
Pd7 Pd 0.9721 0.9721 0.7134
S1 S 0.2815 0.7185 0.5000
S2 S 0.7185 0.2815 0.5000
# **Symmetry**: No. 12
# **Uncorrected energy**: -5.0527 eV/atom
# **Formation energy without anion corrections**: -15 kJ/mol of atoms

---

# PBE AsPd3S, relaxed
data_AsPd3S
_chemical_formula_sum 'As2 Pd6 S2'
_space_group_name_H-M_alt 'P 1'
_space_group_IT_number 1
_space_group_name_Hall 'P 1'
_cell_length_a 7.4716
_cell_length_b 7.4716
_cell_length_c 6.9467
_cell_angle_alpha 93.59
_cell_angle_beta 93.59
_cell_angle_gamma 26.69
loop_
_atom_site_label
_atom_site_type_symbol
_atom_site_fract_x
_atom_site_fract_y
_atom_site_fract_z
As1 As 0.1253 0.1253 0.3702
As2 As 0.8747 0.8747 0.6298
Pd1 Pd 0.0499 0.0499 0.6964
Pd2 Pd 0.2449 0.2449 0.6685
Pd3 Pd 0.4222 0.4222 0.8781
Pd4 Pd 0.5778 0.5778 0.1219
Pd5 Pd 0.7551 0.7551 0.3315
Pd6 Pd 0.9501 0.9501 0.3036
S1 S 0.3458 0.3458 0.1638
S2 S 0.6542 0.6542 0.8362
# **Symmetry**: No. 12
# **Uncorrected energy**: -5.1152 eV/atom
# **Formation energy without anion corrections**: -24 kJ/mol of atoms
# **ΔE to the lowest computed polymorph**: 0 meV per atom

---

# PBE AsPd3S, relaxed
data_AsPd3S
_chemical_formula_sum 'As1 Pd3 S1'
_space_group_name_H-M_alt 'P 1'
_space_group_IT_number 1
_space_group_name_Hall 'P 1'
_cell_length_a 4.5212
_cell_length_b 4.5212
_cell_length_c 4.5212
_cell_angle_alpha 90.00
_cell_angle_beta 90.00
_cell_angle_gamma 90.00
loop_
_atom_site_label
_atom_site_type_symbol
_atom_site_fract_x
_atom_site_fract_y
_atom_site_fract_z
As1 As 0.0000 0.0000 0.0000
Pd1 Pd 0.0000 0.5000 0.5000
Pd2 Pd 0.5000 0.0000 0.5000
Pd3 Pd 0.5000 0.5000 0.0000
S1 S 0.5000 0.5000 0.5000
# **Symmetry**: No. 221
# **Uncorrected energy**: -4.7630 eV/atom
# **Formation energy without anion corrections**: 10 kJ/mol of atoms
# **ΔE to the lowest computed polymorph**: 352 meV per atom

---

# PBE AsPdS, relaxed
data_AsPdS
_chemical_formula_sum 'As4 Pd4 S4'
_space_group_name_H-M_alt 'P 1'
_space_group_IT_number 1
_space_group_name_Hall 'P 1'
_cell_length_a 6.5029
_cell_length_b 4.7605
_cell_length_c 8.8251
_cell_angle_alpha 90.00
_cell_angle_beta 120.58
_cell_angle_gamma 90.00
loop_
_atom_site_label
_atom_site_type_symbol
_atom_site_fract_x
_atom_site_fract_y
_atom_site_fract_z
As1 As 0.1724 0.1102 0.1653
As2 As 0.1724 0.3898 0.6653
As3 As 0.8276 0.6102 0.3347
As4 As 0.8276 0.8898 0.8347
Pd1 Pd 0.3553 0.5991 0.2015
Pd2 Pd 0.3553 0.9009 0.7015
Pd3 Pd 0.6447 0.0991 0.2985
Pd4 Pd 0.6447 0.4009 0.7985
S1 S 0.2280 0.6848 0.8916
S2 S 0.2280 0.8152 0.3916
S3 S 0.7720 0.1848 0.6084
S4 S 0.7720 0.3152 0.1084
# **Symmetry**: No. 14
# **Uncorrected energy**: -4.7614 eV/atom
# **Formation energy without anion corrections**: -10 kJ/mol of atoms

---

# PBE AsPd2S, relaxed
data_AsPd2S
_chemical_formula_sum 'As3 Pd6 S3'
_space_group_name_H-M_alt 'P 1'
_space_group_IT_number 1
_space_group_name_Hall 'P 1'
_cell_length_a 3.7466
_cell_length_b 3.7466
_cell_length_c 16.8969
_cell_angle_alpha 90.00
_cell_angle_beta 90.00
_cell_angle_gamma 120.00
loop_
_atom_site_label
_atom_site_type_symbol
_atom_site_fract_x
_atom_site_fract_y
_atom_site_fract_z
As1 As 0.0000 0.0000 0.0000
As2 As 0.3333 0.6667 0.6667
As3 As 0.6667 0.3333 0.3333
Pd1 Pd 0.0000 0.0000 0.2539
Pd2 Pd 0.0000 0.0000 0.7461
Pd3 Pd 0.3333 0.6667 0.4128
Pd4 Pd 0.3333 0.6667 0.9205
Pd5 Pd 0.6667 0.3333 0.0795
Pd6 Pd 0.6667 0.3333 0.5872
S1 S 0.0000 0.0000 0.5000
S2 S 0.3333 0.6667 0.1667
S3 S 0.6667 0.3333 0.8333
# **Symmetry**: No. 166
# **Uncorrected energy**: -4.9216 eV/atom
# **Formation energy without anion corrections**: -13 kJ/mol of atoms

---

# PBE AsPd6S3, relaxed
data_AsPd6S3
_chemical_formula_sum 'As2 Pd12 S6'
_space_group_name_H-M_alt 'P 1'
_space_group_IT_number 1
_space_group_name_Hall 'P 1'
_cell_length_a 8.1491
_cell_length_b 8.1491
_cell_length_c 5.2748
_cell_angle_alpha 90.00
_cell_angle_beta 90.00
_cell_angle_gamma 101.52
loop_
_atom_site_label
_atom_site_type_symbol
_atom_site_fract_x
_atom_site_fract_y
_atom_site_fract_z
As1 As 0.1535 0.8465 0.5000
As2 As 0.8465 0.1535 0.0000
Pd1 Pd 0.0374 0.5611 0.2929
Pd2 Pd 0.0486 0.9514 0.9465
Pd3 Pd 0.2620 0.7380 0.9002
Pd4 Pd 0.2983 0.4048 0.8374
Pd5 Pd 0.4048 0.2983 0.3374
Pd6 Pd 0.4389 0.9626 0.2929
Pd7 Pd 0.5611 0.0374 0.7929
Pd8 Pd 0.5952 0.7017 0.8374
Pd9 Pd 0.7017 0.5952 0.3374
Pd10 Pd 0.7380 0.2620 0.4002
Pd11 Pd 0.9514 0.0486 0.4465
Pd12 Pd 0.9626 0.4389 0.7929
S1 S 0.1187 0.3192 0.4932
S2 S 0.3192 0.1187 0.9932
S3 S 0.4122 0.5878 0.1722
S4 S 0.5878 0.4122 0.6722
S5 S 0.6808 0.8813 0.4932
S6 S 0.8813 0.6808 0.9932
# **Symmetry**: No. 36
# **Uncorrected energy**: -5.0023 eV/atom
# **Formation energy without anion corrections**: -18 kJ/mol of atoms

---

# PBE AsPd8S2, relaxed
data_AsPd8S2
_chemical_formula_sum 'As1 Pd8 S2'
_space_group_name_H-M_alt 'P 1'
_space_group_IT_number 1
_space_group_name_Hall 'P 1'
_cell_length_a 7.5087
_cell_length_b 7.5087
_cell_length_c 6.2205
_cell_angle_alpha 113.78
_cell_angle_beta 113.78
_cell_angle_gamma 32.50
loop_
_atom_site_label
_atom_site_type_symbol
_atom_site_fract_x
_atom_site_fract_y
_atom_site_fract_z
As1 As 0.0000 0.0000 0.0000
Pd1 Pd 0.0904 0.0904 0.4660
Pd2 Pd 0.1818 0.1818 0.9907
Pd3 Pd 0.3125 0.3125 0.6842
Pd4 Pd 0.4621 0.4621 0.1817
Pd5 Pd 0.5379 0.5379 0.8183
Pd6 Pd 0.6875 0.6875 0.3158
Pd7 Pd 0.8182 0.8182 0.0093
Pd8 Pd 0.9096 0.9096 0.5340
S1 S 0.3349 0.3349 0.3346
S2 S 0.6651 0.6651 0.6654
# **Symmetry**: No. 12
# **Uncorrected energy**: -5.1336 eV/atom
# **Formation energy without anion corrections**: -18 kJ/mol of atoms

---

# PBE AsPdS, relaxed
data_AsPdS
_chemical_formula_sum 'As4 Pd4 S4'
_space_group_name_H-M_alt 'P 1'
_space_group_IT_number 1
_space_group_name_Hall 'P 1'
_cell_length_a 6.0257
_cell_length_b 6.0257
_cell_length_c 6.0257
_cell_angle_alpha 90.00
_cell_angle_beta 90.00
_cell_angle_gamma 90.00
loop_
_atom_site_label
_atom_site_type_symbol
_atom_site_fract_x
_atom_site_fract_y
_atom_site_fract_z
As1 As 0.1130 0.1130 0.1130
As2 As 0.3870 0.8870 0.6130
As3 As 0.6130 0.3870 0.8870
As4 As 0.8870 0.6130 0.3870
Pd1 Pd 0.0007 0.5007 0.9993
Pd2 Pd 0.4993 0.4993 0.4993
Pd3 Pd 0.5007 0.9993 0.0007
Pd4 Pd 0.9993 0.0007 0.5007
S1 S 0.1073 0.3927 0.6073
S2 S 0.3927 0.6073 0.1073
S3 S 0.6073 0.1073 0.3927
S4 S 0.8927 0.8927 0.8927
# **Symmetry**: No. 198
# **Uncorrected energy**: -5.0131 eV/atom
# **Formation energy without anion corrections**: -34 kJ/mol of atoms

---

# PBE Sc6As2PdS3, relaxed
data_Sc6As2PdS3
_chemical_formula_sum 'Sc6 As2 Pd1 S3'
_space_group_name_H-M_alt 'P 1'
_space_group_IT_number 1
_space_group_name_Hall 'P 1'
_cell_length_a 8.4953
_cell_length_b 8.4953
_cell_length_c 7.6306
_cell_angle_alpha 104.23
_cell_angle_beta 104.23
_cell_angle_gamma 25.54
loop_
_atom_site_label
_atom_site_type_symbol
_atom_site_fract_x
_atom_site_fract_y
_atom_site_fract_z
Sc1 Sc 0.0034 0.0034 0.2425
Sc2 Sc 0.3294 0.3294 0.4196
Sc3 Sc 0.3323 0.3323 0.9166
Sc4 Sc 0.6677 0.6677 0.0834
Sc5 Sc 0.6706 0.6706 0.5804
Sc6 Sc 0.9966 0.9966 0.7575
As1 As 0.1641 0.1641 0.8286
As2 As 0.8359 0.8359 0.1714
Pd1 Pd 0.5000 0.5000 0.5000
S1 S 0.1681 0.1681 0.3319
S2 S 0.5000 0.5000 0.0000
S3 S 0.8319 0.8319 0.6681
# **Symmetry**: No. 12
# **Uncorrected energy**: -6.9016 eV/atom
# **Formation energy without anion corrections**: -144 kJ/mol of atoms

---

# PBE AsPdSe2S, relaxed
data_AsPdSe2S
_chemical_formula_sum 'As1 Pd1 Se2 S1'
_space_group_name_H-M_alt 'P 1'
_space_group_IT_number 1
_space_group_name_Hall 'P 1'
_cell_length_a 4.7668
_cell_length_b 4.7668
_cell_length_c 4.8152
_cell_angle_alpha 90.00
_cell_angle_beta 90.00
_cell_angle_gamma 90.00
loop_
_atom_site_label
_atom_site_type_symbol
_atom_site_fract_x
_atom_site_fract_y
_atom_site_fract_z
As1 As 0.0000 0.0000 0.0000
Pd1 Pd 0.5000 0.5000 0.0000
Se1 Se 0.0000 0.5000 0.5000
Se2 Se 0.5000 0.0000 0.5000
S1 S 0.0000 0.0000 0.5000
# **Symmetry**: No. 123
# **Uncorrected energy**: -3.4198 eV/atom
# **Formation energy without anion corrections**: 74 kJ/mol of atoms
# **ΔE to the lowest computed polymorph**: 0 meV per atom

---

# PBE AsPdSe2S, relaxed
data_AsPdSe2S
_chemical_formula_sum 'As1 Pd1 Se2 S1'
_space_group_name_H-M_alt 'P 1'
_space_group_IT_number 1
_space_group_name_Hall 'P 1'
_cell_length_a 4.9227
_cell_length_b 4.9227
_cell_length_c 4.8297
_cell_angle_alpha 90.00
_cell_angle_beta 90.00
_cell_angle_gamma 90.00
loop_
_atom_site_label
_atom_site_type_symbol
_atom_site_fract_x
_atom_site_fract_y
_atom_site_fract_z
As1 As 0.0000 0.0000 0.0000
Pd1 Pd 0.0000 0.0000 0.5000
Se1 Se 0.0000 0.5000 0.5000
Se2 Se 0.5000 0.0000 0.5000
S1 S 0.5000 0.5000 0.0000
# **Symmetry**: No. 123
# **Uncorrected energy**: -3.4171 eV/atom
# **Formation energy without anion corrections**: 74 kJ/mol of atoms
# **ΔE to the lowest computed polymorph**: 3 meV per atom

---

# PBE TaAsPd2S, relaxed
data_TaAsPd2S
_chemical_formula_sum 'Ta1 As1 Pd2 S1'
_space_group_name_H-M_alt 'P 1'
_space_group_IT_number 1
_space_group_name_Hall 'P 1'
_cell_length_a 4.9959
_cell_length_b 4.9959
_cell_length_c 4.5340
_cell_angle_alpha 90.00
_cell_angle_beta 90.00
_cell_angle_gamma 90.00
loop_
_atom_site_label
_atom_site_type_symbol
_atom_site_fract_x
_atom_site_fract_y
_atom_site_fract_z
Ta1 Ta 0.0000 0.0000 0.0000
As1 As 0.5000 0.5000 0.5000
Pd1 Pd 0.0000 0.5000 0.0000
Pd2 Pd 0.5000 0.0000 0.0000
S1 S 0.0000 0.0000 0.5000
# **Symmetry**: No. 123
# **Uncorrected energy**: -5.5655 eV/atom
# **Formation energy without anion corrections**: 62 kJ/mol of atoms